## Hg2Pt3 (PBE)

Data for a geometry-optimized Hg2Pt3 structure.

POSCAR file:
```
Hg2Pt3
1.0
3.082 0.669 7.756
5.209 3.760 3.667
-3.044 2.383 3.982
Hg Pt
4 6
Direct
0.861 0.246 0.524
0.004 0.389 0.881
0.369 0.524 0.246
0.726 0.881 0.389
0.468 0.816 0.904
0.434 0.782 0.438
0.812 0.904 0.816
0.346 0.438 0.782
0.240 0.260 0.260
0.990 0.010 0.010
```

energy above the lowest structure with this stoichiometry = 0.0 kJ per mole of atoms
energy relative to the elements = 0.095 eV per atom
crystal system = orthorhombic
E_tot = -18.25 eV per formula unit
magnetization = 0.00 μB per cell
space-group type = Fdd2



## Hg3Pt (PBE)

Data for a geometry-optimized Hg3Pt structure.

POSCAR file:
```
Hg3Pt
1.0
-3.702 -2.834 -3.171
2.822 -2.978 3.868
-1.380 5.288 1.387
Hg Pt
3 1
Direct
0.500 0.500 0.000
0.000 0.000 0.000
0.000 0.500 0.500
0.500 0.000 0.500
```

energy above the lowest structure with this stoichiometry = 22.1 kJ per mole of atoms
energy relative to the elements = 0.217 eV per atom
crystal system = trigonal
E_tot = -6.08 eV per formula unit
magnetization = 0.00 μB per cell
space-group type = R-3m



## HgPt (PBE)

Data for a geometry-optimized HgPt structure.

POSCAR file:
```
HgPt
1.0
6.680 0.000 0.000
0.000 6.267 0.000
0.000 0.000 7.686
Hg Pt
8 8
Direct
0.594 0.141 0.002
0.698 0.598 0.168
0.302 0.098 0.332
0.094 0.359 0.998
0.802 0.402 0.668
0.406 0.641 0.498
0.198 0.902 0.832
0.906 0.859 0.502
0.798 0.788 0.848
0.044 0.465 0.351
0.702 0.212 0.348
0.298 0.712 0.152
0.956 0.965 0.149
0.202 0.288 0.652
0.456 0.535 0.851
0.544 0.035 0.649
```

energy relative to the elements = 0.098 eV per atom
crystal system = orthorhombic
E_tot = -6.15 eV per formula unit
magnetization = 0.00 μB per cell
space-group type = P2_12_12_1



## Hg5Pt (PBE)

Data for a geometry-optimized Hg5Pt structure.

POSCAR file:
```
Hg5Pt
1.0
1.588 -10.925 0.000
1.588 10.925 0.000
0.000 0.000 4.461
Hg Pt
5 1
Direct
0.759 0.241 0.500
0.014 0.986 0.000
0.641 0.359 0.000
0.435 0.565 0.500
0.336 0.664 0.000
0.149 0.851 0.500
```

energy above the lowest structure with this stoichiometry = 2.6 kJ per mole of atoms
energy relative to the elements = 0.076 eV per atom
crystal system = orthorhombic
E_tot = -7.09 eV per formula unit
magnetization = 0.00 μB per cell
space-group type = Amm2



## HgPt2 (PBE)

Data for a geometry-optimized HgPt2 structure.

POSCAR file:
```
HgPt2
1.0
1.438 -7.404 0.000
1.438 7.404 0.000
0.000 0.000 4.897
Pt Hg
4 2
Direct
0.549 0.451 0.250
0.451 0.549 0.750
0.111 0.889 0.750
0.889 0.111 0.250
0.214 0.786 0.250
0.786 0.214 0.750
```

energy relative to the elements = 0.116 eV per atom
crystal system = orthorhombic
E_tot = -12.03 eV per formula unit
magnetization = 0.00 μB per cell
space-group type = Cmcm



## HgPt (PBE)

Data for a geometry-optimized HgPt structure.

POSCAR file:
```
HgPt
1.0
3.895 0.000 0.000
1.948 3.374 0.000
1.948 1.125 3.181
Pt Hg
1 1
Direct
0.500 0.500 0.500
0.000 0.000 0.000
```

energy relative to the elements = 0.287 eV per atom
crystal system = cubic
E_tot = -5.77 eV per formula unit
magnetization = 0.00 μB per cell
space-group type = Fm-3m



## HgPt2 (PBE)

Data for a geometry-optimized HgPt2 structure.

POSCAR file:
```
HgPt2
1.0
6.423 0.000 0.000
5.096 3.909 0.000
-5.760 -1.955 2.064
Hg Pt
1 2
Direct
0.500 0.500 0.000
0.828 0.828 0.000
0.172 0.172 0.000
```

energy relative to the elements = 0.057 eV per atom
crystal system = tetragonal
E_tot = -12.21 eV per formula unit
magnetization = 0.00 μB per cell
space-group type = I4/mmm



## Hg3Pt (PBE)

Data for a geometry-optimized Hg3Pt structure.

POSCAR file:
```
Hg3Pt
1.0
-5.274 -0.261 -4.936
-0.429 -2.362 -6.818
1.104 -0.489 7.127
Hg Pt
3 1
Direct
0.000 0.500 0.500
0.690 0.690 0.000
0.310 0.310 0.000
0.500 0.000 0.500
```

energy above the lowest structure with this stoichiometry = 2.4 kJ per mole of atoms
energy relative to the elements = 0.013 eV per atom
crystal system = orthorhombic
E_tot = -6.89 eV per formula unit
magnetization = 0.00 μB per cell
space-group type = Immm



## Hg5Pt (PBE)

Data for a geometry-optimized Hg5Pt structure.

POSCAR file:
```
Hg5Pt
1.0
1.531 -10.772 0.000
1.531 10.772 0.000
0.000 0.000 4.637
Hg Pt
5 1
Direct
0.500 0.500 0.500
0.617 0.383 0.000
0.187 0.813 0.500
0.813 0.187 0.500
0.383 0.617 0.000
0.000 0.000 0.000
```

energy above the lowest structure with this stoichiometry = 0.0 kJ per mole of atoms
energy relative to the elements = 0.049 eV per atom
crystal system = orthorhombic
E_tot = -7.26 eV per formula unit
magnetization = 0.00 μB per cell
space-group type = Cmmm



## HgPt2 (PBE)

Data for a geometry-optimized HgPt2 structure.

POSCAR file:
```
HgPt2
1.0
4.434 0.000 0.000
2.217 3.840 0.000
2.217 1.280 3.621
Pt Hg
2 1
Direct
0.750 0.750 0.750
0.250 0.250 0.250
0.000 0.000 0.000
```

energy relative to the elements = 0.497 eV per atom
crystal system = cubic
E_tot = -10.89 eV per formula unit
magnetization = 0.00 μB per cell
space-group type = Fm-3m



## HgPt6 (PBE)

Data for a geometry-optimized HgPt6 structure.

POSCAR file:
```
HgPt6
1.0
6.114 0.000 0.000
-2.038 5.764 0.000
-2.038 -2.882 4.992
Hg Pt
1 6
Direct
0.000 0.000 0.000
0.250 0.500 0.750
0.500 0.750 0.250
0.750 0.250 0.500
0.250 0.750 0.500
0.500 0.250 0.750
0.750 0.500 0.250
```

energy relative to the elements = 0.760 eV per atom
crystal system = cubic
E_tot = -31.23 eV per formula unit
magnetization = 1.81 μB per cell
space-group type = Im-3m



## HgPt (PBE)

Data for a geometry-optimized HgPt structure.

POSCAR file:
```
HgPt
1.0
-1.429 -0.796 4.289
-2.821 -3.347 -1.560
9.016 -8.283 1.466
Pt Hg
6 6
Direct
0.500 0.500 0.883
0.500 0.500 0.117
0.500 0.000 0.500
0.000 0.500 0.000
0.000 0.000 0.617
0.000 0.000 0.383
0.500 0.000 0.000
0.000 0.500 0.241
0.500 0.000 0.259
0.500 0.000 0.741
0.000 0.500 0.759
0.000 0.500 0.500
```

energy relative to the elements = 0.095 eV per atom
crystal system = orthorhombic
E_tot = -6.15 eV per formula unit
magnetization = 0.00 μB per cell
space-group type = Immm